1.
First-principles (GGA-PBEsol) data for La2Au3 after structural relaxation, as listed in the Alexandria database.

Unit cell a=5.902 b=5.953 c=8.355 alpha=100.08 beta=110.68 gamma=60.28
Positions (direct):
La  0.859  0.155  0.603
La  0.411  0.845  0.397
La  0.264  0.345  0.103
La  0.506  0.655  0.897
Au  0.229  0.500  0.500
Au  0.822  0.364  0.257
Au  0.815  0.864  0.243
Au  0.436  0.136  0.757
Au  0.929  0.636  0.743
Au  0.979  0.000  0.000

Results
As for the total magnetization: 0.00 μB/atom. Its total energy is -5.205 eV per atom. The calculation puts the energy above the most stable polymorph in this dataset at 0.034 eV per atom. As for the formation energy: -0.71 eV/atom.


2.
First-principles (GGA-PBEsol) data for LaAu13 after structural relaxation, as listed in the Alexandria database.

Unit cell a=9.142 b=9.142 c=9.142 alpha=60.00 beta=60.00 gamma=60.00
Positions (direct):
Au  0.801  0.561  0.199
Au  0.699  0.301  0.939
Au  0.801  0.199  0.439
Au  0.199  0.561  0.439
Au  0.439  0.199  0.561
Au  0.439  0.561  0.801
Au  0.939  0.301  0.061
Au  0.561  0.199  0.801
Au  0.000  0.000  0.000
Au  0.301  0.939  0.699
Au  0.801  0.439  0.561
Au  0.061  0.699  0.939
Au  0.699  0.939  0.061
Au  0.500  0.500  0.500
Au  0.939  0.061  0.699
Au  0.199  0.439  0.801
Au  0.301  0.699  0.061
Au  0.301  0.061  0.939
Au  0.061  0.301  0.699
Au  0.561  0.801  0.439
Au  0.439  0.801  0.199
Au  0.061  0.939  0.301
Au  0.561  0.439  0.199
Au  0.699  0.061  0.301
Au  0.199  0.801  0.561
Au  0.939  0.699  0.301
La  0.750  0.750  0.750
La  0.250  0.250  0.250

Results
As for the total magnetization: 0.00 μB/atom. Its total energy is -4.151 eV per atom. As for the formation energy: -0.13 eV/atom.


3.
First-principles (GGA-PBEsol) data for LaAu3 after structural relaxation, as listed in the Alexandria database.

Unit cell a=5.048 b=5.151 c=6.545 alpha=90.00 beta=90.00 gamma=90.00
Positions (direct):
La  0.660  0.500  0.500
La  0.340  0.000  0.000
Au  0.320  0.000  0.500
Au  0.837  0.000  0.729
Au  0.680  0.500  0.000
Au  0.837  0.000  0.271
Au  0.163  0.500  0.771
Au  0.163  0.500  0.229

Results
As for the total magnetization: 0.00 μB/atom. Its total energy is -4.931 eV per atom. As for the formation energy: -0.65 eV/atom.


4.
First-principles (GGA-PBEsol) data for La3Au after structural relaxation, as listed in the Alexandria database.

Unit cell a=3.771 b=3.771 c=10.428 alpha=79.58 beta=79.58 gamma=60.00
Positions (direct):
La  0.263  0.263  0.210
La  0.737  0.737  0.790
La  0.500  0.500  0.500
Au  0.000  0.000  0.000

Results
As for the total magnetization: 0.00 μB/atom. Its total energy is -5.232 eV per atom. As for the formation energy: -0.24 eV/atom.


5.
First-principles (GGA-PBEsol) data for LaAu3 after structural relaxation, as listed in the Alexandria database.

Unit cell a=5.543 b=5.543 c=5.543 alpha=90.00 beta=90.00 gamma=90.00
Positions (direct):
Au  0.000  0.750  0.500
Au  0.250  0.500  0.000
Au  0.500  0.000  0.750
Au  0.750  0.500  0.000
Au  0.500  0.000  0.250
Au  0.000  0.250  0.500
La  0.500  0.500  0.500
La  0.000  0.000  0.000

Results
As for the total magnetization: 0.00 μB/atom. Its total energy is -4.899 eV per atom. As for the formation energy: -0.62 eV/atom.


6.
First-principles (GGA-PBEsol) data for LaAu2 after structural relaxation, as listed in the Alexandria database.

Unit cell a=5.100 b=5.100 c=6.131 alpha=90.00 beta=90.00 gamma=120.00
Positions (direct):
Au  0.000  0.000  0.500
Au  0.000  0.000  0.000
Au  0.333  0.667  0.250
Au  0.667  0.333  0.750
La  0.333  0.667  0.750
La  0.667  0.333  0.250

Results
As for the total magnetization: 0.00 μB/atom. Its total energy is -5.104 eV per atom. As for the formation energy: -0.71 eV/atom.


7.
First-principles (GGA-PBEsol) data for LaAu after structural relaxation, as listed in the Alexandria database.

Unit cell a=4.797 b=5.879 c=7.476 alpha=90.00 beta=90.00 gamma=90.00
Positions (direct):
La  0.750  0.642  0.185
La  0.250  0.142  0.315
La  0.750  0.858  0.685
La  0.250  0.358  0.815
Au  0.750  0.147  0.040
Au  0.250  0.647  0.460
Au  0.250  0.853  0.960
Au  0.750  0.353  0.540

Results
As for the total magnetization: 0.00 μB/atom. Its total energy is -5.429 eV per atom. As for the formation energy: -0.79 eV/atom.


8.
First-principles (GGA-PBEsol) data for La4Au after structural relaxation, as listed in the Alexandria database.

Unit cell a=3.731 b=3.731 c=13.378 alpha=81.98 beta=81.98 gamma=60.00
Positions (direct):
Au  0.000  0.000  0.000
La  0.612  0.612  0.164
La  0.796  0.796  0.613
La  0.204  0.204  0.387
La  0.388  0.388  0.836

Results
As for the total magnetization: 0.00 μB/atom. Its total energy is -5.256 eV per atom. The calculation puts the energy above the most stable polymorph in this dataset at 0.099 eV per atom. As for the formation energy: -0.19 eV/atom.


9.
First-principles (GGA-PBEsol) data for La2Au3 after structural relaxation, as listed in the Alexandria database.

Unit cell a=3.784 b=3.784 c=8.439 alpha=102.95 beta=102.95 gamma=90.00
Positions (direct):
Au  0.088  0.088  0.176
Au  0.500  0.500  0.000
Au  0.912  0.912  0.824
La  0.316  0.316  0.632
La  0.684  0.684  0.368

Results
As for the total magnetization: 0.00 μB/atom. Its total energy is -4.908 eV per atom. The calculation puts the energy above the most stable polymorph in this dataset at 0.331 eV per atom. As for the formation energy: -0.42 eV/atom.


10.
First-principles (GGA-PBEsol) data for Li2LaAu after structural relaxation, as listed in the Alexandria database.

Unit cell a=3.506 b=3.506 c=7.241 alpha=90.00 beta=90.00 gamma=90.00
Positions (direct):
Au  0.000  0.000  0.448
Li  0.000  0.000  0.075
Li  0.500  0.500  0.271
La  0.500  0.500  0.706

Results
As for the total magnetization: 0.00 μB/atom. Its total energy is -3.611 eV per atom. As for the formation energy: -0.31 eV/atom.


11.
First-principles (GGA-PBEsol) data for Li2LaAu after structural relaxation, as listed in the Alexandria database.

Unit cell a=3.891 b=4.074 c=6.322 alpha=90.00 beta=107.60 gamma=90.00
Positions (direct):
La  0.271  0.500  0.672
Au  0.678  0.000  0.484
Li  0.548  0.500  0.215
Li  0.003  0.000  0.128

Results
As for the total magnetization: 0.00 μB/atom. Its total energy is -3.608 eV per atom. As for the formation energy: -0.31 eV/atom.


12.
First-principles (GGA-PBEsol) data for LiLa2Au after structural relaxation, as listed in the Alexandria database.

Unit cell a=3.899 b=4.737 c=5.994 alpha=90.00 beta=108.98 gamma=90.00
Positions (direct):
Li  0.685  0.000  0.371
Au  0.563  0.500  0.125
La  0.973  0.000  0.947
La  0.275  0.500  0.550

Results
As for the total magnetization: 0.00 μB/atom. Its total energy is -4.471 eV per atom. As for the formation energy: -0.33 eV/atom.


13.
First-principles (GGA-PBEsol) data for Li3LaAu after structural relaxation, as listed in the Alexandria database.

Unit cell a=4.814 b=4.814 c=4.814 alpha=90.00 beta=90.00 gamma=90.00
Each line ends with the local moment (μB).
Positions (direct):
Au  0.000  0.000  0.000  0.01
Li  0.000  0.500  0.000  0.01
Li  0.500  0.000  0.000  0.01
Li  0.000  0.000  0.500  0.01
La  0.500  0.500  0.500  0.21

Results
As for the total magnetization: 0.15 μB/atom. Its total energy is -3.057 eV per atom. As for the formation energy: -0.02 eV/atom.


14.
First-principles (GGA-PBEsol) data for LiLaAu2 after structural relaxation, as listed in the Alexandria database.

Unit cell a=4.965 b=4.965 c=8.734 alpha=106.52 beta=106.52 gamma=90.00
Positions (direct):
Au  0.507  0.875  0.250
Au  0.743  0.375  0.250
Au  0.625  0.493  0.750
Au  0.125  0.257  0.750
La  0.000  0.000  0.000
La  0.250  0.750  0.500
Li  0.750  0.250  0.500
Li  0.500  0.500  0.000

Results
As for the total magnetization: 0.00 μB/atom. Its total energy is -4.090 eV per atom. As for the formation energy: -0.30 eV/atom.


15.
First-principles (GGA-PBEsol) data for LiLaAu2 after structural relaxation, as listed in the Alexandria database.

Unit cell a=4.529 b=4.529 c=5.500 alpha=65.68 beta=65.68 gamma=60.00
Positions (direct):
Li  0.000  0.000  0.000
Au  0.714  0.714  0.857
Au  0.286  0.286  0.143
La  0.500  0.500  0.500

Results
As for the total magnetization: 0.00 μB/atom. Its total energy is -4.482 eV per atom. As for the formation energy: -0.69 eV/atom.


16.
First-principles (GGA-PBEsol) data for Li2LaAu after structural relaxation, as listed in the Alexandria database.

Unit cell a=3.554 b=5.037 c=5.253 alpha=103.31 beta=109.78 gamma=90.00
Positions (direct):
Li  0.278  0.330  0.557
Li  0.722  0.670  0.443
La  0.500  0.000  0.000
Au  0.000  0.500  0.000

Results
As for the total magnetization: 0.00 μB/atom. Its total energy is -3.605 eV per atom. As for the formation energy: -0.30 eV/atom.


17.
First-principles (GGA-PBEsol) data for Li2LaAu after structural relaxation, as listed in the Alexandria database.

Unit cell a=4.521 b=4.521 c=5.580 alpha=66.10 beta=66.10 gamma=60.00
Positions (direct):
Li  0.044  0.044  0.869
Li  0.760  0.760  0.720
La  0.246  0.246  0.263
Au  0.454  0.454  0.638

Results
As for the total magnetization: 0.00 μB/atom. Its total energy is -3.631 eV per atom. As for the formation energy: -0.33 eV/atom.


18.
First-principles (GGA-PBEsol) data for Li2LaAu after structural relaxation, as listed in the Alexandria database.

Unit cell a=4.621 b=5.029 c=5.029 alpha=61.16 beta=62.65 gamma=62.65
Positions (direct):
Au  0.471  0.529  0.529
Li  0.760  0.740  0.740
Li  0.025  0.975  0.975
La  0.243  0.257  0.257

Results
As for the total magnetization: 0.00 μB/atom. Its total energy is -3.593 eV per atom. As for the formation energy: -0.29 eV/atom.


19.
First-principles (GGA-PBEsol) data for LiLa2Au after structural relaxation, as listed in the Alexandria database.

Unit cell a=3.703 b=4.965 c=6.285 alpha=113.21 beta=107.13 gamma=90.00
Positions (direct):
Li  0.451  0.451  0.902
Au  0.780  0.279  0.560
La  0.239  0.738  0.478
La  0.031  0.031  0.061

Results
As for the total magnetization: 0.00 μB/atom. Its total energy is -4.450 eV per atom. As for the formation energy: -0.30 eV/atom.


20.
First-principles (GGA-PBEsol) data for LiLaAu2 after structural relaxation, as listed in the Alexandria database.

Unit cell a=3.450 b=3.450 c=6.832 alpha=90.00 beta=90.01 gamma=90.00
Positions (direct):
Au  0.999  0.000  0.704
Au  0.001  0.000  0.296
Li  0.500  0.500  0.500
La  0.500  0.500  0.000

Results
As for the total magnetization: 0.00 μB/atom. Its total energy is -4.397 eV per atom. As for the formation energy: -0.61 eV/atom.


21.
First-principles (GGA-PBEsol) data for LiLaAu2 after structural relaxation, as listed in the Alexandria database.

Unit cell a=4.291 b=4.463 c=5.292 alpha=114.94 beta=113.92 gamma=90.00
Positions (direct):
Li  0.257  0.757  0.515
Au  0.991  0.991  0.983
Au  0.749  0.249  0.497
La  0.503  0.503  0.006

Results
As for the total magnetization: 0.00 μB/atom. Its total energy is -4.336 eV per atom. As for the formation energy: -0.55 eV/atom.


22.
First-principles (GGA-PBEsol) data for LiLa2Au after structural relaxation, as listed in the Alexandria database.

Unit cell a=3.926 b=5.125 c=5.125 alpha=90.00 beta=90.00 gamma=90.00
Positions (direct):
Au  0.500  0.000  0.000
La  0.000  0.500  0.000
La  0.000  0.000  0.500
Li  0.500  0.500  0.500

Results
As for the total magnetization: 0.00 μB/atom. Its total energy is -4.475 eV per atom. As for the formation energy: -0.33 eV/atom.


23.
First-principles (GGA-PBEsol) data for LiLaAu2 after structural relaxation, as listed in the Alexandria database.

Unit cell a=4.978 b=4.978 c=4.978 alpha=60.00 beta=60.00 gamma=60.00
Positions (direct):
Au  0.750  0.750  0.750
Au  0.250  0.250  0.250
La  0.000  0.000  0.000
Li  0.500  0.500  0.500

Results
As for the total magnetization: 0.00 μB/atom. Its total energy is -4.406 eV per atom. As for the formation energy: -0.62 eV/atom.


24.
First-principles (GGA-PBEsol) data for Li2LaMnAu after structural relaxation, as listed in the Alexandria database.

Unit cell a=4.256 b=4.824 c=4.824 alpha=90.00 beta=90.00 gamma=90.00
Each line ends with the local moment (μB).
Positions (direct):
Li  0.000  0.000  0.500  -0.01
Li  0.000  0.500  0.000  -0.01
La  0.000  0.000  0.000  -0.07
Mn  0.500  0.000  0.000  0.52
Au  0.500  0.500  0.500  0.00

Results
As for the total magnetization: 0.07 μB/atom. Its total energy is -3.441 eV per atom. As for the formation energy: 1.15 eV/atom.


25.
First-principles (GGA-PBEsol) data for LiLa4AuO8 after structural relaxation, as listed in the Alexandria database.

Unit cell a=5.703 b=5.703 c=6.805 alpha=90.00 beta=114.78 gamma=90.00
Positions (direct):
O  0.000  0.751  0.500
O  0.752  0.748  0.000
O  0.752  0.252  0.000
O  0.248  0.252  0.000
O  0.000  0.249  0.500
O  0.500  0.249  0.500
O  0.500  0.751  0.500
O  0.248  0.748  0.000
La  0.650  0.500  0.299
La  0.149  0.000  0.298
La  0.350  0.500  0.701
La  0.851  0.000  0.702
Au  0.000  0.500  0.000
Li  0.500  0.000  0.000

Results
For the uncorrected formation energy, the calculation gives -2.792 eV per atom. As for the total magnetization: 0.00 μB/atom. Its total energy is -7.740 eV per atom.


26.
First-principles (GGA-PBEsol) data for LiLa2AuS after structural relaxation, as listed in the Alexandria database.

Unit cell a=3.997 b=5.315 c=5.315 alpha=90.00 beta=90.00 gamma=90.00
Positions (direct):
Au  0.500  0.500  0.500
Li  0.000  0.000  0.000
La  0.000  0.000  0.500
La  0.000  0.500  0.000
S  0.500  0.000  0.000

Results
For the uncorrected formation energy, the calculation gives -0.465 eV per atom. As for the total magnetization: 0.00 μB/atom. Its total energy is -4.659 eV per atom.


27.
First-principles (GGA-PBEsol) data for LiLaSiAu2 after structural relaxation, as listed in the Alexandria database.

Unit cell a=4.756 b=4.756 c=5.468 alpha=90.00 beta=90.00 gamma=90.00
Positions (direct):
Au  0.000  0.500  0.000
Au  0.500  0.000  0.000
Li  0.500  0.500  0.500
La  0.000  0.000  0.500
Si  0.000  0.000  0.000

Results
For the uncorrected formation energy, the calculation gives 0.012 eV per atom. As for the total magnetization: 0.00 μB/atom. Its total energy is -4.170 eV per atom.